Computed, not measured: a relaxed structure of HfZrGaMo at the PBE level of DFT.

DFT formation energy, eV per formula unit: -1.02
Total DFT energy (no corrections), eV per atom: -8.3449

Cell: 4.7328 4.7328 4.7328 Å, 60.00 60.00 60.00°
Element x y z (fractional)
Hf1 0.0000 0.0000 0.0000
Zr1 0.5000 0.5000 0.5000
Ga1 0.7500 0.7500 0.7500
Mo1 0.2500 0.2500 0.2500

=====

Computed, not measured: a relaxed structure of HfZrGaMo2 at the PBE level of DFT.

DFT formation energy, eV per formula unit: 7.89
Total DFT energy (no corrections), eV per atom: -7.0599

Cell: 4.7592 4.7592 5.1964 Å, 90.00 90.00 90.00°
Element x y z (fractional)
Hf1 0.0000 0.0000 0.0000
Zr1 0.0000 0.0000 0.5000
Ga1 0.5000 0.5000 0.5000
Mo1 0.0000 0.5000 0.0000
Mo2 0.5000 0.0000 0.0000

=====

Computed, not measured: a relaxed structure of Hf4GaN at the PBE level of DFT.

E_form (uncorrected), eV/atom: -0.5775
Total DFT energy (no corrections), eV per atom: -9.1051

Cell: 6.0336 6.1130 5.9838 Å, 90.00 95.68 90.00°
Element x y z (fractional)
Hf1 0.1076 0.1625 0.1805
Hf2 0.1076 0.3375 0.6805
Hf3 0.3218 0.6315 0.0940
Hf4 0.3218 0.8685 0.5940
Hf5 0.6782 0.1315 0.4060
Hf6 0.6782 0.3685 0.9060
Hf7 0.8924 0.6625 0.3195
Hf8 0.8924 0.8375 0.8195
Ga1 0.5000 0.0000 0.0000
Ga2 0.5000 0.5000 0.5000
N1 0.0000 0.0000 0.5000
N2 0.0000 0.5000 0.0000

=====

Computed, not measured: a relaxed structure of Hf3Ga5N12 at the PBE level of DFT.

E_form (uncorrected), eV/atom: 0.0294
Total DFT energy (no corrections), eV per atom: -7.2155

Cell: 10.6137 10.6137 10.6137 Å, 109.47 109.47 109.47°
Element x y z (fractional)
Hf1 0.1250 0.2500 0.3750
Hf2 0.1250 0.3750 0.7500
Hf3 0.2500 0.3750 0.1250
Hf4 0.2500 0.8750 0.6250
Hf5 0.3750 0.1250 0.2500
Hf6 0.3750 0.7500 0.1250
Hf7 0.6250 0.2500 0.8750
Hf8 0.6250 0.8750 0.7500
Hf9 0.7500 0.1250 0.3750
Hf10 0.7500 0.6250 0.8750
Hf11 0.8750 0.6250 0.2500
Hf12 0.8750 0.7500 0.6250
Ga1 0.0000 0.0000 0.0000
Ga2 0.0000 0.0000 0.5000
Ga3 0.0000 0.5000 0.0000
Ga4 0.0000 0.5000 0.5000
Ga5 0.1250 0.7500 0.8750
Ga6 0.1250 0.8750 0.2500
Ga7 0.2500 0.1250 0.8750
Ga8 0.2500 0.6250 0.3750
Ga9 0.3750 0.2500 0.6250
Ga10 0.3750 0.6250 0.7500
Ga11 0.5000 0.0000 0.0000
Ga12 0.5000 0.0000 0.5000
Ga13 0.5000 0.5000 0.0000
Ga14 0.5000 0.5000 0.5000
Ga15 0.6250 0.3750 0.2500
Ga16 0.6250 0.7500 0.3750
Ga17 0.7500 0.3750 0.6250
Ga18 0.7500 0.8750 0.1250
Ga19 0.8750 0.1250 0.7500
Ga20 0.8750 0.2500 0.1250
N1 0.0487 0.2275 0.1342
N2 0.0487 0.3212 0.9145
N3 0.0855 0.6342 0.4067
N4 0.0855 0.9513 0.6788
N5 0.0933 0.7275 0.6788
N6 0.0933 0.8658 0.4145
N7 0.1342 0.0487 0.2275
N8 0.1342 0.5855 0.9067
N9 0.1788 0.2275 0.5933
N10 0.1788 0.4513 0.5855
N11 0.2275 0.1342 0.0487
N12 0.2275 0.5933 0.1788
N13 0.2725 0.3212 0.9067
N14 0.2725 0.4513 0.3658
N15 0.3212 0.9067 0.2725
N16 0.3212 0.9145 0.0487
N17 0.3658 0.2725 0.4513
N18 0.3658 0.5933 0.9145
N19 0.4067 0.0855 0.6342
N20 0.4067 0.8212 0.7725
N21 0.4145 0.0933 0.8658
N22 0.4145 0.8212 0.5487
N23 0.4513 0.3658 0.2725
N24 0.4513 0.5855 0.1788
N25 0.5487 0.4145 0.8212
N26 0.5487 0.6342 0.7275
N27 0.5855 0.1788 0.4513
N28 0.5855 0.9067 0.1342
N29 0.5933 0.1788 0.2275
N30 0.5933 0.9145 0.3658
N31 0.6342 0.4067 0.0855
N32 0.6342 0.7275 0.5487
N33 0.6788 0.0855 0.9513
N34 0.6788 0.0933 0.7275
N35 0.7275 0.5487 0.6342
N36 0.7275 0.6788 0.0933
N37 0.7725 0.4067 0.8212
N38 0.7725 0.8658 0.9513
N39 0.8212 0.5487 0.4145
N40 0.8212 0.7725 0.4067
N41 0.8658 0.4145 0.0933
N42 0.8658 0.9513 0.7725
N43 0.9067 0.1342 0.5855
N44 0.9067 0.2725 0.3212
N45 0.9145 0.0487 0.3212
N46 0.9145 0.3658 0.5933
N47 0.9513 0.6788 0.0855
N48 0.9513 0.7725 0.8658

=====

Computed, not measured: a relaxed structure of HfGaN3 at the PBE level of DFT.

E_form (uncorrected), eV/atom: 0.5458
Total DFT energy (no corrections), eV per atom: -7.0455

Cell: 3.7631 3.7631 3.7631 Å, 90.00 90.00 90.00°
Element x y z (fractional)
Hf1 0.0000 0.0000 0.0000
Ga1 0.5000 0.5000 0.5000
N1 0.0000 0.5000 0.5000
N2 0.5000 0.0000 0.5000
N3 0.5000 0.5000 0.0000

=====

Computed, not measured: a relaxed structure of HfGaN3 at the PBE level of DFT.

E_form (uncorrected), eV/atom: 0.6471
Total DFT energy (no corrections), eV per atom: -6.9442

Cell: 4.2060 4.2060 4.2060 Å, 90.00 90.00 90.00°
Element x y z (fractional)
Hf1 0.0000 0.0000 0.0000
Ga1 0.5000 0.5000 0.5000
N1 0.0000 0.0000 0.5000
N2 0.0000 0.5000 0.0000
N3 0.5000 0.0000 0.0000

=====

Computed, not measured: a relaxed structure of HfGaN at the PBE level of DFT.

E_form (uncorrected), eV/atom: -0.9960
Total DFT energy (no corrections), eV per atom: -8.0979

Cell: 8.6327 8.6327 8.6327 Å, 24.24 24.24 24.24°
Element x y z (fractional)
Hf1 0.2179 0.2179 0.2179
Hf2 0.7821 0.7821 0.7821
Ga1 0.3611 0.3611 0.3611
Ga2 0.6389 0.6389 0.6389
N1 0.1309 0.1309 0.1309
N2 0.8691 0.8691 0.8691

=====

Computed, not measured: a relaxed structure of Hf6GaN3 at the PBE level of DFT.

E_form (uncorrected), eV/atom: -1.1716
Total DFT energy (no corrections), eV per atom: -9.9439

Cell: 10.0628 3.2080 10.1125 Å, 90.00 108.61 90.00°
Element x y z (fractional)
Hf1 0.0458 0.2500 0.3729
Hf2 0.1590 0.7500 0.1355
Hf3 0.2568 0.2500 0.6697
Hf4 0.3440 0.7500 0.4490
Hf5 0.3625 0.7500 0.9533
Hf6 0.4512 0.2500 0.2371
Hf7 0.5488 0.7500 0.7629
Hf8 0.6375 0.2500 0.0467
Hf9 0.6560 0.2500 0.5510
Hf10 0.7432 0.7500 0.3303
Hf11 0.8410 0.2500 0.8645
Hf12 0.9542 0.7500 0.6271
Ga1 0.1131 0.2500 0.8721
Ga2 0.8869 0.7500 0.1279
N1 0.1413 0.7500 0.5232
N2 0.2372 0.2500 0.2872
N3 0.4503 0.2500 0.8558
N4 0.5497 0.7500 0.1442
N5 0.7628 0.7500 0.7128
N6 0.8587 0.2500 0.4768

=====

Computed, not measured: a relaxed structure of Hf6GaN at the PBE level of DFT.

E_form (uncorrected), eV/atom: -0.5056
Total DFT energy (no corrections), eV per atom: -9.3898

Cell: 5.0653 5.7069 5.8581 Å, 98.40 112.79 90.86°
Element x y z (fractional)
Hf1 0.0644 0.2978 0.1557
Hf2 0.2332 0.8289 0.4809
Hf3 0.3929 0.3735 0.7475
Hf4 0.6071 0.6265 0.2525
Hf5 0.7668 0.1711 0.5191
Hf6 0.9356 0.7022 0.8443
Ga1 0.5000 0.0000 0.0000
N1 0.0000 0.5000 0.5000

=====

Computed, not measured: a relaxed structure of Hf8Ga2N3 at the PBE level of DFT.

E_form (uncorrected), eV/atom: -0.7227
Total DFT energy (no corrections), eV per atom: -9.2348

Cell: 7.2279 7.2279 5.7940 Å, 103.09 103.09 53.52°
Element x y z (fractional)
Hf1 0.0952 0.0952 0.9142
Hf2 0.1553 0.6584 0.6148
Hf3 0.3416 0.8447 0.3852
Hf4 0.4001 0.4001 0.1131
Hf5 0.5999 0.5999 0.8869
Hf6 0.6584 0.1553 0.6148
Hf7 0.8447 0.3416 0.3852
Hf8 0.9048 0.9048 0.0858
Ga1 0.2485 0.2485 0.6769
Ga2 0.7515 0.7515 0.3231
N1 0.2673 0.7327 0.0000
N2 0.5000 0.5000 0.5000
N3 0.7327 0.2673 0.0000

=====

Computed, not measured: a relaxed structure of Hf6Ga3N at the PBE level of DFT.

E_form (uncorrected), eV/atom: -0.5065
Total DFT energy (no corrections), eV per atom: -8.2192

Cell: 8.3400 8.3400 5.6152 Å, 90.00 90.00 100.57°
Element x y z (fractional)
Hf1 0.0901 0.9099 0.5000
Hf2 0.1208 0.5427 0.2753
Hf3 0.2236 0.3210 0.8216
Hf4 0.3064 0.6936 0.7816
Hf5 0.3210 0.2236 0.3216
Hf6 0.4573 0.8792 0.2753
Hf7 0.5427 0.1208 0.7753
Hf8 0.6790 0.7764 0.8216
Hf9 0.6936 0.3064 0.2816
Hf10 0.7764 0.6790 0.3216
Hf11 0.8792 0.4573 0.7753
Hf12 0.9099 0.0901 0.0000
Ga1 0.0013 0.2318 0.4729
Ga2 0.2318 0.0013 0.9729
Ga3 0.4792 0.5208 0.0998
Ga4 0.5208 0.4792 0.5998
Ga5 0.7682 0.9987 0.4729
Ga6 0.9987 0.7682 0.9729
N1 0.2520 0.7480 0.4400
N2 0.7480 0.2520 0.9400

=====

Computed, not measured: a relaxed structure of Hf6GaN2 at the PBE level of DFT.

E_form (uncorrected), eV/atom: -0.5894
Total DFT energy (no corrections), eV per atom: -9.4114

Cell: 7.8654 7.8654 6.1157 Å, 106.28 106.28 78.12°
Element x y z (fractional)
Hf1 0.0252 0.2400 0.5275
Hf2 0.1056 0.6453 0.9864
Hf3 0.2400 0.0252 0.0275
Hf4 0.3121 0.4132 0.3431
Hf5 0.3547 0.8944 0.5137
Hf6 0.4132 0.3121 0.8431
Hf7 0.5868 0.6879 0.1569
Hf8 0.6453 0.1056 0.4864
Hf9 0.6879 0.5868 0.6569
Hf10 0.7600 0.9748 0.9725
Hf11 0.8944 0.3547 0.0136
Hf12 0.9748 0.7600 0.4725
Ga1 0.3356 0.6644 0.7500
Ga2 0.6644 0.3356 0.2500
N1 0.1128 0.2456 0.2361
N2 0.2456 0.1128 0.7361
N3 0.7544 0.8872 0.2639
N4 0.8872 0.7544 0.7639

=====

Computed, not measured: a relaxed structure of Hf4GaN2 at the PBE level of DFT.

E_form (uncorrected), eV/atom: -1.1992
Total DFT energy (no corrections), eV per atom: -9.6980

Cell: 5.7809 5.7809 11.4338 Å, 90.00 90.00 146.29°
Element x y z (fractional)
Hf1 0.0000 0.0000 0.0000
Hf2 0.0000 0.0000 0.5000
Hf3 0.2613 0.7387 0.6064
Hf4 0.2613 0.7387 0.8936
Hf5 0.4200 0.5800 0.2500
Hf6 0.5800 0.4200 0.7500
Hf7 0.7387 0.2613 0.1064
Hf8 0.7387 0.2613 0.3936
Ga1 0.1086 0.8914 0.2500
Ga2 0.8914 0.1086 0.7500
N1 0.3663 0.6337 0.0616
N2 0.3663 0.6337 0.4384
N3 0.6337 0.3663 0.5616
N4 0.6337 0.3663 0.9384

=====

Computed, not measured: a relaxed structure of Hf6Ga2N at the PBE level of DFT.

E_form (uncorrected), eV/atom: -0.4496
Total DFT energy (no corrections), eV per atom: -8.6829

Cell: 7.4743 7.4743 3.3727 Å, 90.00 90.00 120.00°
Element x y z (fractional)
Hf1 0.0000 0.4082 0.0000
Hf2 0.0000 0.7625 0.5000
Hf3 0.2375 0.2375 0.5000
Hf4 0.4082 0.0000 0.0000
Hf5 0.5918 0.5918 0.0000
Hf6 0.7625 0.0000 0.5000
Ga1 0.3333 0.6667 0.5000
Ga2 0.6667 0.3333 0.5000
N1 0.0000 0.0000 0.0000

=====

Computed, not measured: a relaxed structure of HfGaN2O at the PBE level of DFT.

E_form (uncorrected), eV/atom: -0.2726
Total DFT energy (no corrections), eV per atom: -7.1904

Cell: 3.7856 3.7856 3.7647 Å, 90.00 90.00 90.00°
Element x y z (fractional)
Hf1 0.0000 0.0000 0.0000
Ga1 0.5000 0.5000 0.5000
N1 0.0000 0.5000 0.5000
N2 0.5000 0.0000 0.5000
O1 0.5000 0.5000 0.0000

=====

Computed, not measured: a relaxed structure of HfGaN2O at the PBE level of DFT.

E_form (uncorrected), eV/atom: -0.2322
Total DFT energy (no corrections), eV per atom: -7.1500

Cell: 4.2443 4.2443 4.0319 Å, 90.00 90.00 90.00°
Element x y z (fractional)
Hf1 0.0000 0.0000 0.0000
Ga1 0.5000 0.5000 0.5000
N1 0.0000 0.5000 0.0000
N2 0.5000 0.0000 0.0000
O1 0.0000 0.0000 0.5000

=====

Computed, not measured: a relaxed structure of Hf2GaNO at the PBE level of DFT.

E_form (uncorrected), eV/atom: 0.0763
Total DFT energy (no corrections), eV per atom: -7.1672

Cell: 4.3434 4.3434 4.0321 Å, 90.00 90.00 90.00°
Element x y z (fractional)
Hf1 0.0000 0.5000 0.0000
Hf2 0.5000 0.0000 0.0000
Ga1 0.0000 0.0000 0.5000
N1 0.5000 0.5000 0.5000
O1 0.0000 0.0000 0.0000

=====

Computed, not measured: a relaxed structure of HfPa2GaN6 at the PBE level of DFT.

E_form (uncorrected), eV/atom: -1.0902
Total DFT energy (no corrections), eV per atom: -9.2826

Cell: 5.8668 5.8668 5.8668 Å, 57.68 57.68 57.68°
Element x y z (fractional)
Hf1 0.0000 0.0000 0.0000
Pa1 0.2186 0.2186 0.2186
Pa2 0.7160 0.7160 0.7160
Ga1 0.4945 0.4945 0.4945
N1 0.1387 0.3838 0.7976
N2 0.3028 0.8905 0.6335
N3 0.3838 0.7976 0.1387
N4 0.6335 0.3028 0.8905
N5 0.7976 0.1387 0.3838
N6 0.8905 0.6335 0.3028

=====

Computed, not measured: a relaxed structure of HfGa2PbN at the PBE level of DFT.

E_form (uncorrected), eV/atom: 1.5213
Total DFT energy (no corrections), eV per atom: -4.0869

Cell: 5.3233 5.3233 5.6878 Å, 90.00 90.00 90.00°
Element x y z (fractional)
Hf1 0.0000 0.0000 0.0000
Ga1 0.0000 0.5000 0.0000
Ga2 0.5000 0.0000 0.0000
Pb1 0.0000 0.0000 0.5000
N1 0.5000 0.5000 0.5000

=====

Computed, not measured: a relaxed structure of HfSc2GaN at the PBE level of DFT.

E_form (uncorrected), eV/atom: -1.0474
Total DFT energy (no corrections), eV per atom: -7.8411

Cell: 4.3824 4.3824 4.3829 Å, 90.00 90.00 90.00°
Element x y z (fractional)
Hf1 0.0000 0.0000 0.0000
Sc1 0.0000 0.5000 0.5000
Sc2 0.5000 0.0000 0.5000
Ga1 0.5000 0.5000 0.0000
N1 0.0000 0.0000 0.5000